The following is a DFT calculation (PBE) of crystalline LiInRe2 at its relaxed geometry.

Properties
DFT formation energy, eV/atom: 0.096
M_tot, μB per formula unit: 0.00

```
data_LiInRe2
_chemical_formula_sum 'Li1 In1 Re2'
_cell_length_a 3.115
_cell_length_b 3.115
_cell_length_c 6.463
_cell_angle_alpha 90.00
_cell_angle_beta 90.00
_cell_angle_gamma 90.00
_symmetry_space_group_name_H-M 'P 4 m m'
_symmetry_Int_Tables_number 99
_symmetry_space_group_name_Hall 'P 4 -2'
loop_
_atom_site_label
_atom_site_fract_x
_atom_site_fract_y
_atom_site_fract_z
Li1 0.000 0.000 0.000
In1 0.500 0.500 0.759
Re1 0.000 0.000 0.445
Re2 0.500 0.500 0.236
```

The following is a DFT calculation (PBE) of crystalline NdPuBiO6 at its relaxed geometry.

Properties
Formation energy from raw total energies, eV/atom: -2.348
M_tot, μB per formula unit: 2.00

```
data_NdPuBiO6
_chemical_formula_sum 'Nd2 Pu2 Bi2 O12'
_cell_length_a 5.9417
_cell_length_b 5.9417
_cell_length_c 9.3911
_cell_angle_alpha 90.00
_cell_angle_beta 90.00
_cell_angle_gamma 120.00
_symmetry_space_group_name_H-M 'P -3 1 c'
_symmetry_Int_Tables_number 163
_symmetry_space_group_name_Hall '-P 3 2c'
loop_
_atom_site_label
_atom_site_fract_x
_atom_site_fract_y
_atom_site_fract_z
Nd1 0.3333 0.6667 0.2500
Pu1 0.3333 0.6667 0.7500
Bi1 0.0000 0.0000 0.0000
O1 0.0380 0.3668 0.6328
```

The following is a DFT calculation (PBE) of crystalline Sr3Ga2Ge3 at its relaxed geometry.

Properties
E above lowest polymorph, meV per atom: 0
DFT formation energy, eV/atom: -0.505
M_tot, μB per formula unit: 0.00

```
data_Sr3Ga2Ge3
_chemical_formula_sum 'Sr12 Ga8 Ge12'
_cell_length_a 4.508
_cell_length_b 12.024
_cell_length_c 15.240
_cell_angle_alpha 90.00
_cell_angle_beta 90.00
_cell_angle_gamma 90.00
_symmetry_space_group_name_H-M 'C m c m'
_symmetry_Int_Tables_number 63
_symmetry_space_group_name_Hall '-C 2c 2'
loop_
_atom_site_label
_atom_site_fract_x
_atom_site_fract_y
_atom_site_fract_z
Sr1 0.000 0.069 0.109
Sr2 0.000 0.344 0.250
Ga1 0.000 0.237 0.596
Ge1 0.000 0.356 0.750
Ge2 0.000 0.365 0.047
```

The following is a DFT calculation (PBE) of crystalline HOs2 at its relaxed geometry.

Properties
E above lowest polymorph, meV per atom: 97
M_tot, μB per formula unit: 0.00

```
data_HOs2
_chemical_formula_sum 'H2 Os4'
_cell_length_a 4.804
_cell_length_b 2.743
_cell_length_c 5.122
_cell_angle_alpha 90.00
_cell_angle_beta 106.20
_cell_angle_gamma 90.00
_symmetry_space_group_name_H-M 'C 1 2/m 1'
_symmetry_Int_Tables_number 12
_symmetry_space_group_name_Hall '-C 2y'
loop_
_atom_site_label
_atom_site_fract_x
_atom_site_fract_y
_atom_site_fract_z
H1 0.000 0.000 0.000
Os1 0.101 0.500 0.287
```